Record 1
Compound: Ni17W12
Source: the Open Quantum Materials Database
Functional: PBE
Structure: optimized geometry

Structure (POSCAR):
```
Ni17W12
1.0
-4.622 4.622 4.622
4.622 -4.622 4.622
4.622 4.622 -4.622
W Ni
12 17
Direct
0.198 0.000 0.390
0.192 0.802 0.802
0.808 0.610 0.610
0.610 0.610 0.808
0.610 0.808 0.610
0.802 0.802 0.192
0.198 0.390 0.000
0.390 0.000 0.198
0.802 0.192 0.802
0.390 0.198 0.000
0.000 0.198 0.390
0.000 0.390 0.198
0.722 0.313 0.313
0.409 0.000 0.687
0.000 0.000 0.000
0.313 0.313 0.722
0.687 0.000 0.409
0.000 0.665 0.000
0.409 0.687 0.000
0.591 0.591 0.278
0.000 0.409 0.687
0.665 0.000 0.000
0.000 0.000 0.665
0.313 0.722 0.313
0.278 0.591 0.591
0.000 0.687 0.409
0.687 0.409 0.000
0.335 0.335 0.335
0.591 0.278 0.591
```

- energy relative to the elements (kJ per mole of atoms) = 26.7
- space-group type = No. 217
- distance to the lowest polymorph of the same formula (meV per atom) = 103.9

---

Record 2
Compound: Ni2W
Source: the Open Quantum Materials Database
Functional: PBE
Structure: optimized geometry

Structure (POSCAR):
```
Ni2W
1.0
4.755 0.000 0.000
-2.377 4.118 0.000
0.000 0.000 15.757
Ni W
16 8
Direct
0.000 0.500 0.500
0.000 0.000 0.907
0.500 0.500 0.500
0.838 0.676 0.750
0.162 0.838 0.250
0.500 0.000 0.500
0.838 0.162 0.750
0.162 0.324 0.250
0.676 0.838 0.250
0.000 0.000 0.093
0.324 0.162 0.750
0.000 0.000 0.593
0.500 0.500 0.000
0.500 0.000 0.000
0.000 0.500 0.000
0.000 0.000 0.407
0.667 0.333 0.875
0.667 0.333 0.341
0.333 0.667 0.375
0.333 0.667 0.841
0.667 0.333 0.625
0.333 0.667 0.125
0.333 0.667 0.659
0.667 0.333 0.159
```

- energy relative to the elements (kJ per mole of atoms) = 16.1
- space-group type = No. 194

---

Record 3
Compound: NiW2
Source: the Open Quantum Materials Database
Functional: PBE
Structure: optimized geometry

Structure (POSCAR):
```
NiW2
1.0
2.507 -4.315 0.000
2.507 4.315 0.000
0.000 0.000 8.058
W Ni
8 4
Direct
0.674 0.326 0.056
0.825 0.663 0.750
0.663 0.825 0.250
0.326 0.674 0.556
0.326 0.674 0.944
0.175 0.337 0.250
0.674 0.326 0.444
0.337 0.175 0.750
0.000 0.000 0.000
0.167 0.833 0.250
0.000 0.000 0.500
0.833 0.167 0.750
```

- energy relative to the elements (kJ per mole of atoms) = 20.7
- space-group type = No. 63
- distance to the lowest polymorph of the same formula (meV per atom) = 154.0

---

Record 4
Compound: NiW2
Source: the Open Quantum Materials Database
Functional: PBE
Structure: optimized geometry

Structure (POSCAR):
```
NiW2
1.0
9.270 0.000 0.000
0.000 9.270 0.000
0.000 0.000 5.094
W Ni
20 10
Direct
0.102 0.898 0.500
0.185 0.185 0.248
0.729 0.060 0.000
0.315 0.685 0.252
0.815 0.815 0.248
0.560 0.771 0.500
0.940 0.271 0.000
0.440 0.229 0.500
0.315 0.685 0.748
0.185 0.185 0.752
0.771 0.560 0.500
0.060 0.729 0.000
0.898 0.102 0.500
0.229 0.440 0.500
0.815 0.815 0.752
0.271 0.940 0.000
0.685 0.315 0.748
0.685 0.315 0.252
0.398 0.398 0.000
0.602 0.602 0.000
0.035 0.630 0.500
0.630 0.035 0.500
0.000 0.000 0.000
0.535 0.870 0.000
0.130 0.465 0.000
0.870 0.535 0.000
0.465 0.130 0.000
0.370 0.965 0.500
0.500 0.500 0.500
0.965 0.370 0.500
```

- energy relative to the elements (kJ per mole of atoms) = 15.5
- space-group type = No. 136
- distance to the lowest polymorph of the same formula (meV per atom) = 99.3

---

Record 5
Compound: Ni2W11
Source: the Open Quantum Materials Database
Functional: PBE
Structure: optimized geometry

Structure (POSCAR):
```
Ni2W11
1.0
4.266 -8.437 0.288
5.591 -6.303 -4.299
8.099 -4.886 0.066
W Ni
11 2
Direct
0.000 0.000 0.000
0.912 0.912 0.417
0.417 0.912 0.912
0.088 0.088 0.583
0.649 0.649 0.649
0.583 0.088 0.088
0.912 0.417 0.912
0.088 0.583 0.088
0.549 0.549 0.549
0.451 0.451 0.451
0.351 0.351 0.351
0.834 0.834 0.834
0.166 0.166 0.166
```

- energy relative to the elements (kJ per mole of atoms) = 43.6
- space-group type = No. 166
- distance to the lowest polymorph of the same formula (meV per atom) = 86.2

---

Record 6
Compound: NiW5
Source: the Open Quantum Materials Database
Functional: PBE
Structure: optimized geometry

Structure (POSCAR):
```
NiW5
1.0
-0.370 3.125 -4.127
-0.702 -5.113 -0.546
-16.617 1.963 2.977
Ni W
4 20
Direct
0.333 0.667 0.845
0.667 0.333 0.345
0.667 0.333 0.155
0.333 0.667 0.655
0.837 0.163 0.750
0.667 0.333 0.876
0.667 0.333 0.624
0.163 0.326 0.250
0.837 0.674 0.750
0.500 0.000 0.000
0.333 0.667 0.376
0.500 0.500 0.000
0.163 0.837 0.250
0.000 0.000 0.097
0.674 0.837 0.250
0.000 0.500 0.500
0.333 0.667 0.124
0.500 0.000 0.500
0.000 0.500 0.000
0.000 0.000 0.903
0.326 0.163 0.750
0.500 0.500 0.500
0.000 0.000 0.597
0.000 0.000 0.403
```

- energy relative to the elements (kJ per mole of atoms) = 53.7
- space-group type = No. 194
- distance to the lowest polymorph of the same formula (meV per atom) = 255.5

---

Record 7
Compound: NiW5
Source: the Open Quantum Materials Database
Functional: PBE
Structure: optimized geometry

Structure (POSCAR):
```
NiW5
1.0
-2.624 0.717 -4.311
4.960 -1.157 -0.198
-1.903 -8.125 -0.194
W Ni
10 2
Direct
0.333 0.667 0.063
0.169 0.339 0.750
0.667 0.333 0.563
0.339 0.169 0.250
0.831 0.661 0.250
0.169 0.831 0.750
0.667 0.333 0.937
0.661 0.831 0.750
0.831 0.169 0.250
0.333 0.667 0.437
0.000 0.000 0.500
0.000 0.000 0.000
```

- energy relative to the elements (kJ per mole of atoms) = 29.2
- space-group type = No. 194
- distance to the lowest polymorph of the same formula (meV per atom) = 0.6

---

Record 8
Compound: Ni10W3
Source: the Open Quantum Materials Database
Functional: PBE
Structure: optimized geometry

Structure (POSCAR):
```
Ni10W3
1.0
-8.543 -2.573 -0.032
-6.981 -3.636 4.201
-8.285 0.706 3.235
Ni W
10 3
Direct
0.547 0.547 0.547
0.582 0.093 0.093
0.453 0.453 0.453
0.907 0.418 0.907
0.093 0.582 0.093
0.350 0.350 0.350
0.093 0.093 0.582
0.418 0.907 0.907
0.650 0.650 0.650
0.907 0.907 0.418
0.838 0.838 0.838
0.162 0.162 0.162
0.000 0.000 0.000
```

- energy relative to the elements (kJ per mole of atoms) = 10.8
- space-group type = No. 166
- distance to the lowest polymorph of the same formula (meV per atom) = 76.2

---

- Among the records above, which one has the lowest energy relative to the elements?
  Ni10W3

---

Copy entry 2 word for word.
Compound: Ni2W
Source: the Open Quantum Materials Database
Functional: PBE
Structure: optimized geometry

Structure (POSCAR):
```
Ni2W
1.0
4.755 0.000 0.000
-2.377 4.118 0.000
0.000 0.000 15.757
Ni W
16 8
Direct
0.000 0.500 0.500
0.000 0.000 0.907
0.500 0.500 0.500
0.838 0.676 0.750
0.162 0.838 0.250
0.500 0.000 0.500
0.838 0.162 0.750
0.162 0.324 0.250
0.676 0.838 0.250
0.000 0.000 0.093
0.324 0.162 0.750
0.000 0.000 0.593
0.500 0.500 0.000
0.500 0.000 0.000
0.000 0.500 0.000
0.000 0.000 0.407
0.667 0.333 0.875
0.667 0.333 0.341
0.333 0.667 0.375
0.333 0.667 0.841
0.667 0.333 0.625
0.333 0.667 0.125
0.333 0.667 0.659
0.667 0.333 0.159
```

- energy relative to the elements (kJ per mole of atoms) = 16.1
- space-group type = No. 194